Model A:
DFT (GGA-PBE) results for crystalline Ta2NbTe4 at its relaxed geometry.

Calculated volume   168.3 Å³/f.u.
SG   No. 12
Total magnetization   0.00 μB per cell

Cell lengths 3.5715, 6.8121, 8.0700 Å; angles 117.74, 102.78, 90.00 degrees
Sites, in units of the cell vectors:
1 Te 0.0985 0.7517 0.1970
2 Te 0.3585 0.6873 0.7169
3 Ta 0.2544 0.1776 0.5089
4 Nb 0.0000 0.0000 0.0000
5 Ta 0.7456 0.8224 0.4911
6 Te 0.6415 0.3127 0.2831
7 Te 0.9015 0.2483 0.8030

=====

Model B:
DFT (GGA-PBE) results for crystalline Ta2NbTe4 at its relaxed geometry.

Calculated volume   164.9 Å³/f.u.
SG   No. 62
Total magnetization   0.00 μB per cell

Cell lengths 7.1363, 7.3728, 12.5346 Å; angles 90.00, 90.00, 90.00 degrees
Sites, in units of the cell vectors:
1 Te 0.2086 0.5002 0.6598
2 Ta 0.0170 0.2500 0.2176
3 Te 0.7914 0.4998 0.3402
4 Nb 0.0152 0.7500 0.2183
5 Te 0.7235 0.2500 0.0796
6 Te 0.7086 0.4998 0.8402
7 Te 0.2914 0.5002 0.1598
8 Te 0.7765 0.2500 0.5796
9 Ta 0.0000 0.0000 0.0000
10 Te 0.7787 0.7500 0.5798
11 Te 0.7213 0.7500 0.0798
12 Ta 0.5170 0.7500 0.2824
13 Te 0.7914 0.0002 0.3402
14 Ta 0.5000 0.5000 0.5000
15 Ta 0.9830 0.7500 0.7824
16 Ta 0.4830 0.2500 0.7176
17 Te 0.2213 0.2500 0.4202
18 Ta 0.0000 0.5000 0.0000
19 Te 0.2235 0.7500 0.4204
20 Te 0.2914 0.9998 0.1598
21 Te 0.2765 0.7500 0.9204
22 Nb 0.4848 0.7500 0.7183
23 Te 0.2787 0.2500 0.9202
24 Nb 0.9848 0.2500 0.7817
25 Nb 0.5152 0.2500 0.2817
26 Te 0.2086 0.9998 0.6598
27 Ta 0.5000 0.0000 0.5000
28 Te 0.7086 0.0002 0.8402

=====

Most stable to least stable, the ends of the list are model A and model B.

=====

Model A:
DFT (GGA-PBE) results for crystalline TaNb2Te5 at its relaxed geometry.

Calculated volume   210.7 Å³/f.u.
SG   No. 63
Total magnetization   0.00 μB per cell

Cell lengths 5.3958, 6.9421, 12.2071 Å; angles 90.00, 90.00, 112.87 degrees
Sites, in units of the cell vectors:
1 Te 0.9367 0.8735 0.8878
2 Nb 0.8490 0.6981 0.3849
3 Ta 0.2466 0.4931 0.2500
4 Nb 0.8490 0.6981 0.1151
5 Te 0.6652 0.3305 0.9588
6 Ta 0.7534 0.5069 0.7500
7 Te 0.6652 0.3305 0.5412
8 Te 0.6730 0.3461 0.2500
9 Te 0.0633 0.1265 0.1122
10 Nb 0.1510 0.3019 0.6151
11 Te 0.0633 0.1265 0.3878
12 Te 0.3348 0.6695 0.4588
13 Nb 0.1510 0.3019 0.8849
14 Te 0.3348 0.6695 0.0412
15 Te 0.3270 0.6539 0.7500
16 Te 0.9367 0.8735 0.6122

=====

Model B:
DFT (GGA-PBE) results for crystalline TaNb2Te5 at its relaxed geometry.

Calculated volume   256.4 Å³/f.u.
SG   No. 12
Total magnetization   0.94 μB per cell

Cell lengths 5.1341, 7.3806, 7.4855 Å; angles 84.71, 74.64, 69.65 degrees
Last column: magnetic moment on the atom in μB.
Sites, in units of the cell vectors:
1 Te 0.5029 0.7619 0.1883  -0.01
2 Te 0.2352 0.7619 0.8117  -0.01
3 Te 0.4971 0.2381 0.8117  -0.01
4 Te 0.0000 0.5000 0.5000  -0.02
5 Ta 0.5000 0.5000 0.5000  0.53
6 Nb 0.2300 0.5000 0.1139  0.10
7 Te 0.7648 0.2381 0.1883  -0.01
8 Nb 0.7700 0.5000 0.8861  0.10

=====

Most stable to least stable, the ends of the list are model A and model B.